[1]
# Cu8Ag2Pd PBE optimized geometry
data_Cu8Ag2Pd
_symmetry_space_group_name_H-M 'C 1 m 1'
_symmetry_Int_Tables_number 8
_cell_length_a 4.717
_cell_length_b 16.730
_cell_length_c 4.533
_cell_angle_alpha 90.00
_cell_angle_beta 120.75
_cell_angle_gamma 90.00
loop_
_symmetry_equiv_pos_as_xyz
'x,y,z'
'x,-y,z'
'x+1/2,y+1/2,z'
'x+1/2,-y+1/2,z'
loop_
_atom_site_label
_atom_site_type_symbol
_atom_site_fract_x
_atom_site_fract_y
_atom_site_fract_z
Cu1 Cu 0.000 0.000 0.000
Cu2 Cu 0.017 0.123 0.659
Cu3 Cu 0.183 0.377 0.989
Cu4 Cu 0.325 0.000 0.652
Cu5 Cu 0.348 0.250 0.825
Ag1 Ag 0.347 0.157 0.324
Pd1 Pd 0.150 0.500 0.325
# * magnetization: 0.00 μB/f.u.
# * ΔE_f: 0.96 eV per formula unit

=====

[2]
# CuAg2Pd4 PBE optimized geometry
data_CuAg2Pd4
_symmetry_space_group_name_H-M 'I -4 2 d'
_symmetry_Int_Tables_number 122
_symmetry_space_group_name_Hall 'I -4 2bw'
_cell_length_a 7.774
_cell_length_b 7.774
_cell_length_c 7.818
_cell_angle_alpha 90.00
_cell_angle_beta 90.00
_cell_angle_gamma 90.00
loop_
_atom_site_label
_atom_site_type_symbol
_atom_site_fract_x
_atom_site_fract_y
_atom_site_fract_z
Cu1 Cu 0.000 0.000 0.000
Ag1 Ag 0.113 0.250 0.625
Pd1 Pd 0.078 0.176 0.282
# * magnetization: 0.00 μB/f.u.
# * energy relative to the lowest polymorph listed for this composition: 0 meV per atom
# * ΔE_f: 1.43 eV per formula unit

=====

[3]
# CuAg3Pd4 PBE optimized geometry
data_CuAg3Pd4
_symmetry_space_group_name_H-M 'F m m m'
_symmetry_Int_Tables_number 69
_symmetry_space_group_name_Hall '-F 2 2'
_cell_length_a 5.643
_cell_length_b 5.652
_cell_length_c 16.020
_cell_angle_alpha 90.00
_cell_angle_beta 90.00
_cell_angle_gamma 90.00
loop_
_atom_site_label
_atom_site_type_symbol
_atom_site_fract_x
_atom_site_fract_y
_atom_site_fract_z
Cu1 Cu 0.000 0.000 0.000
Ag1 Ag 0.000 0.000 0.250
Ag2 Ag 0.000 0.000 0.500
Pd1 Pd 0.250 0.250 0.120
# * magnetization: 0.00 μB/f.u.
# * ΔE_f: -0.13 eV per formula unit

=====

[4]
# CuAg2Pd2 PBE optimized geometry
data_CuAg2Pd2
_symmetry_space_group_name_H-M 'I 4/m m m'
_symmetry_Int_Tables_number 139
_symmetry_space_group_name_Hall '-I 4 2'
_cell_length_a 3.681
_cell_length_b 3.681
_cell_length_c 13.530
_cell_angle_alpha 90.00
_cell_angle_beta 90.00
_cell_angle_gamma 90.00
loop_
_atom_site_label
_atom_site_type_symbol
_atom_site_fract_x
_atom_site_fract_y
_atom_site_fract_z
Cu1 Cu 0.000 0.000 0.000
Ag1 Ag 0.000 0.500 0.250
Pd1 Pd 0.000 0.000 0.405
# * magnetization: 0.00 μB/f.u.
# * energy relative to the lowest polymorph listed for this composition: 430 meV per atom
# * ΔE_f: 2.08 eV per formula unit

=====

[5]
# Cu6AgPd4 PBE optimized geometry
data_Cu6AgPd4
_symmetry_space_group_name_H-M 'P -6 m 2'
_symmetry_Int_Tables_number 187
_symmetry_space_group_name_Hall 'P -6 2'
_cell_length_a 8.2975
_cell_length_b 8.2975
_cell_length_c 2.6906
_cell_angle_alpha 90.00
_cell_angle_beta 90.00
_cell_angle_gamma 120.00
loop_
_atom_site_label
_atom_site_type_symbol
_atom_site_fract_x
_atom_site_fract_y
_atom_site_fract_z
Cu1 Cu 0.1747 0.3494 0.0000
Cu2 Cu 0.3154 0.1577 0.5000
Ag1 Ag 0.6667 0.3333 0.0000
Pd1 Pd 0.0000 0.0000 0.0000
Pd2 Pd 0.0363 0.5182 0.5000
# * magnetization: 0.00 μB/f.u.
# * ΔE_f: 0.55 eV per formula unit

=====

[6]
# Cu3AgPd7 PBE optimized geometry
data_Cu3AgPd7
_symmetry_space_group_name_H-M 'P 3 m 1'
_symmetry_Int_Tables_number 156
_cell_length_a 5.5290
_cell_length_b 5.5290
_cell_length_c 6.5110
_cell_angle_alpha 90.00
_cell_angle_beta 90.00
_cell_angle_gamma 120.00
loop_
_symmetry_equiv_pos_as_xyz
'x,y,z'
'-y,x-y,z'
'-x+y,-x,z'
'-y,-x,z'
'-x+y,y,z'
'x,x-y,z'
loop_
_atom_site_label
_atom_site_type_symbol
_atom_site_fract_x
_atom_site_fract_y
_atom_site_fract_z
Cu1 Cu 0.0067 0.5034 0.0000
Ag1 Ag 0.6667 0.3333 0.3255
Pd1 Pd 0.1654 0.3308 0.3207
Pd2 Pd 0.3297 0.1649 0.6867
Pd3 Pd 0.3333 0.6667 0.6768
# * magnetization: 0.00 μB/f.u.
# * ΔE_f: 0.76 eV per formula unit

=====

[7]
# CuAg8Pd2 PBE optimized geometry
data_CuAg8Pd2
_symmetry_space_group_name_H-M 'C 1 2/m 1'
_symmetry_Int_Tables_number 12
_cell_length_a 12.273
_cell_length_b 7.015
_cell_length_c 4.960
_cell_angle_alpha 90.00
_cell_angle_beta 104.94
_cell_angle_gamma 90.00
loop_
_symmetry_equiv_pos_as_xyz
'x,y,z'
'-x,-y,-z'
'-x,y,-z'
'x,-y,z'
'x+1/2,y+1/2,z'
'-x+1/2,-y+1/2,-z'
'-x+1/2,y+1/2,-z'
'x+1/2,-y+1/2,z'
loop_
_atom_site_label
_atom_site_type_symbol
_atom_site_fract_x
_atom_site_fract_y
_atom_site_fract_z
Cu1 Cu 0.000 0.000 0.000
Ag1 Ag 0.066 0.304 0.791
Ag2 Ag 0.150 0.500 0.346
Ag3 Ag 0.224 0.000 0.073
Pd1 Pd 0.114 0.000 0.499
# * magnetization: 0.00 μB/f.u.
# * energy relative to the lowest polymorph listed for this composition: 39 meV per atom
# * ΔE_f: 1.85 eV per formula unit

=====

[8]
# Cu5AgPd2 PBE optimized geometry
data_Cu5AgPd2
_symmetry_space_group_name_H-M 'I 4/m m m'
_symmetry_Int_Tables_number 139
_symmetry_space_group_name_Hall '-I 4 2'
_cell_length_a 5.511
_cell_length_b 5.511
_cell_length_c 7.186
_cell_angle_alpha 90.00
_cell_angle_beta 90.00
_cell_angle_gamma 90.00
loop_
_atom_site_label
_atom_site_type_symbol
_atom_site_fract_x
_atom_site_fract_y
_atom_site_fract_z
Cu1 Cu 0.000 0.000 0.000
Cu2 Cu 0.250 0.250 0.250
Ag1 Ag 0.000 0.000 0.500
Pd1 Pd 0.000 0.500 0.000
# * magnetization: 0.00 μB/f.u.
# * ΔE_f: -0.42 eV per formula unit